Arrangement A

Hf2Zr2Bi | PBE | optimized geometry

Computed properties:
**SG**: C2/m (12)
**Fermi-level density of states**: 0.778 states/eV/atom
**Magnetic moment**: 0.00 μB/cell

```
Hf2Zr2Bi
1.0
3.3765 -4.7245 0.0000
3.3765 4.7245 0.0000
-2.6093 0.0000 7.5436
Hf Zr Bi
4 4 2
direct
0.0161 0.6240 0.8280
0.3760 0.9839 0.1720
0.6240 0.0161 0.8280
0.9839 0.3760 0.1720
0.2484 0.2484 0.9114
0.3908 0.3908 0.6110
0.6092 0.6092 0.3890
0.7516 0.7516 0.0886
0.1873 0.8127 0.5000
0.8127 0.1873 0.5000
```

---

Arrangement B

Hf2Zr2Bi | PBE | optimized geometry

Computed properties:
**SG**: C2/m (12)
**Fermi-level density of states**: 1.277 states/eV/atom
**Magnetic moment**: 0.00 μB/cell

```
Hf2Zr2Bi
1.0
5.2909 -2.0848 0.0000
5.2909 2.0848 0.0000
-0.0166 0.0000 10.5771
Hf Zr Bi
4 4 2
direct
0.0354 0.0354 0.3582
0.1430 0.1430 0.0381
0.8570 0.8570 0.9619
0.9646 0.9646 0.6418
0.3470 0.3470 0.4557
0.4519 0.4519 0.1550
0.5481 0.5481 0.8450
0.6530 0.6530 0.5443
0.2557 0.2557 0.7509
0.7443 0.7443 0.2491
```

---

Name the least stable of them. arrangement A.

---

Arrangement A

Hf3ZrBi | PBE | optimized geometry

Computed properties:
**SG**: C2/c (15)
**Fermi-level density of states**: 0.936 states/eV/atom
**Magnetic moment**: 0.00 μB/cell

```
Hf3ZrBi
1.0
6.4737 -6.1049 0.0000
6.4737 6.1049 0.0000
-1.7425 0.0000 5.9940
Hf Zr Bi
12 4 4
direct
0.0664 0.7056 0.5496
0.1246 0.4935 0.8628
0.2355 0.3795 0.3437
0.2944 0.9336 0.9504
0.3795 0.2355 0.8437
0.4935 0.1246 0.3628
0.5065 0.8754 0.6372
0.6205 0.7645 0.1563
0.7056 0.0664 0.0496
0.7645 0.6205 0.6563
0.8754 0.5065 0.1372
0.9336 0.2944 0.4504
0.0483 0.1720 0.9618
0.1720 0.0483 0.4618
0.8280 0.9517 0.5382
0.9517 0.8280 0.0382
0.2841 0.7159 0.2500
0.4193 0.5807 0.7500
0.5807 0.4193 0.2500
0.7159 0.2841 0.7500
```

---

Arrangement B

Hf3ZrBi | PBE | optimized geometry

Computed properties:
**SG**: Pm-3m (221)
**Fermi-level density of states**: 1.742 states/eV/atom
**Magnetic moment**: 0.00 μB/cell

```
Hf3ZrBi
1.0
5.1782 0.0000 0.0000
0.0000 5.1782 0.0000
0.0000 0.0000 5.1782
Hf Zr Bi
3 1 1
direct
0.0000 0.0000 0.5000
0.0000 0.5000 0.0000
0.5000 0.0000 0.0000
0.0000 0.0000 0.0000
0.5000 0.5000 0.5000
```

---

Name the least stable of them. arrangement B.

---

Arrangement A

Hf3ZrBi | PBE | optimized geometry

Computed properties:
**SG**: C2/m (12)
**Fermi-level density of states**: 0.823 states/eV/atom
**Magnetic moment**: 0.00 μB/cell

```
Hf3ZrBi
1.0
8.0126 -1.5886 0.0000
8.0126 1.5886 0.0000
-2.9125 0.0000 9.4539
Hf Zr Bi
6 2 2
direct
0.0013 0.0013 0.2502
0.1099 0.1099 0.0532
0.3209 0.3209 0.6691
0.6791 0.6791 0.3309
0.8901 0.8901 0.9468
0.9987 0.9987 0.7498
0.3044 0.3044 0.1452
0.6956 0.6956 0.8548
0.1194 0.1194 0.5620
0.8806 0.8806 0.4380
```

---

Arrangement B

Hf3ZrBi | PBE | optimized geometry

Computed properties:
**SG**: Pm-3m (221)
**Fermi-level density of states**: 1.343 states/eV/atom
**Magnetic moment**: 0.00 μB/cell

```
Hf3ZrBi
1.0
5.3027 0.0000 0.0000
0.0000 5.3027 0.0000
0.0000 0.0000 5.3027
Hf Zr Bi
3 1 1
direct
0.0000 0.0000 0.5000
0.0000 0.5000 0.0000
0.5000 0.0000 0.0000
0.5000 0.5000 0.5000
0.0000 0.0000 0.0000
```

---

Name the least stable of them. arrangement B.

---

Arrangement A

HfZrBi3 | PBE | optimized geometry

Computed properties:
**SG**: P-1 (2)
**Fermi-level density of states**: 0.866 states/eV/atom
**Magnetic moment**: 0.00 μB/cell

```
HfZrBi3
1.0
3.9409 0.0000 0.0000
1.9576 5.4231 0.0000
0.0065 2.6258 12.5604
Hf Zr Bi
2 2 6
direct
0.0416 0.4179 0.3783
0.9584 0.5821 0.6217
0.3157 0.8671 0.2062
0.6843 0.1329 0.7938
0.1362 0.2290 0.9706
0.3436 0.8127 0.4411
0.3942 0.7112 0.7788
0.6058 0.2888 0.2212
0.6564 0.1873 0.5589
0.8638 0.7710 0.0294
```

---

Arrangement B

HfZrBi3 | PBE | optimized geometry

Computed properties:
**SG**: P2_1/m (11)
**Fermi-level density of states**: 0.760 states/eV/atom
**Magnetic moment**: 0.00 μB/cell

```
HfZrBi3
1.0
3.9013 0.0000 0.0000
0.0000 10.5764 0.0000
-1.9218 0.0000 7.1294
Hf Zr Bi
2 2 6
direct
0.0628 0.2500 0.1322
0.9372 0.7500 0.8678
0.2553 0.7500 0.5085
0.7447 0.2500 0.4915
0.1585 0.0138 0.3131
0.1585 0.4862 0.3131
0.4077 0.2500 0.8198
0.5923 0.7500 0.1802
0.8415 0.5138 0.6869
0.8415 0.9862 0.6869
```

---

Arrangement C

HfZrBi3 | PBE | optimized geometry

Computed properties:
**SG**: Pm-3m (221)
**Fermi-level density of states**: 2.042 states/eV/atom
**Magnetic moment**: 1.76 μB/cell

```
HfZrBi3
1.0
5.5745 0.0000 0.0000
0.0000 5.5745 0.0000
0.0000 0.0000 5.5745
Hf Zr Bi
1 1 3
direct
0.0000 0.0000 0.0000
0.5000 0.5000 0.5000
0.0000 0.0000 0.5000
0.0000 0.5000 0.0000
0.5000 0.0000 0.0000
```

---

Name the least stable of them. arrangement C.

---

Arrangement A

Hg2Bi | PBE | optimized geometry

Computed properties:
**SG**: P-1 (2)
**Fermi-level density of states**: 0.316 states/eV/atom
**Magnetic moment**: 0.00 μB/cell

```
Hg2Bi
1.0
5.4953 0.0000 0.0000
2.0180 5.1407 0.0000
1.7219 1.1708 6.6881
Hg Bi
4 2
direct
0.0000 0.0000 0.0000
0.1699 0.1640 0.3322
0.5000 0.5000 0.0000
0.8301 0.8360 0.6678
0.3474 0.3522 0.6791
0.6526 0.6478 0.3209
```

---

Arrangement B

Hg2Bi | PBE | optimized geometry

Computed properties:
**SG**: C2/m (12)
**Fermi-level density of states**: 0.400 states/eV/atom
**Magnetic moment**: 0.00 μB/cell

```
Hg2Bi
1.0
6.0805 0.0000 0.0000
0.0000 5.8368 0.0000
-1.9358 0.0000 4.7043
Hg Bi
4 2
direct
0.1598 0.0000 0.3345
0.3402 0.5000 0.6655
0.6598 0.5000 0.3345
0.8402 0.0000 0.6655
0.0000 0.5000 0.0000
0.5000 0.0000 0.0000
```

---

Name the least stable of them. arrangement B.

---

Arrangement A

Hg2Bi | PBE | optimized geometry

Computed properties:
**SG**: P-1 (2)
**Fermi-level density of states**: 0.279 states/eV/atom
**Magnetic moment**: 0.00 μB/cell

```
Hg2Bi
1.0
5.0694 0.0000 0.0000
-0.4668 6.4146 0.0000
-2.3465 -2.4814 5.5217
Hg Bi
4 2
direct
0.1527 0.4095 0.3437
0.1921 0.9120 0.3406
0.8079 0.0880 0.6594
0.8473 0.5905 0.6563
0.4493 0.2508 0.9941
0.5507 0.7492 0.0059
```

---

Arrangement B

Hg2Bi | PBE | optimized geometry

Computed properties:
**SG**: P-1 (2)
**Fermi-level density of states**: 0.292 states/eV/atom
**Magnetic moment**: 0.00 μB/cell

```
Hg2Bi
1.0
3.1741 0.0000 0.0000
-0.5037 5.6435 0.0000
-0.5018 -2.8077 4.8994
Hg Bi
2 1
direct
0.0017 0.1651 0.3350
0.9983 0.8349 0.6650
0.0000 0.5000 0.0000
```

---

Arrangement C

Hg2Bi | PBE | optimized geometry

Computed properties:
**SG**: P-1 (2)
**Fermi-level density of states**: 0.139 states/eV/atom
**Magnetic moment**: 0.00 μB/cell

```
Hg2Bi
1.0
5.8246 0.0000 0.0000
-2.9043 5.0549 0.0000
-0.0254 -3.2588 6.2040
Hg Bi
4 2
direct
0.0000 0.0000 0.0000
0.1642 0.3284 0.4944
0.5000 0.0000 0.5000
0.8358 0.6716 0.5056
0.3392 0.6787 0.0185
0.6608 0.3213 0.9815
```

---

Arrangement D

Hg2Bi | PBE | optimized geometry

Computed properties:
**SG**: C2/m (12)
**Fermi-level density of states**: 0.518 states/eV/atom
**Magnetic moment**: 0.00 μB/cell

```
Hg2Bi
1.0
8.9970 0.0000 0.0000
0.0000 3.3952 0.0000
-3.3781 0.0000 11.6619
Hg Bi
8 4
direct
0.0063 0.0000 0.2668
0.1651 0.5000 0.5800
0.3349 0.0000 0.4200
0.4937 0.5000 0.7332
0.5063 0.5000 0.2668
0.6651 0.0000 0.5800
0.8349 0.5000 0.4200
0.9937 0.0000 0.7332
0.1693 0.5000 0.0867
0.3307 0.0000 0.9133
0.6693 0.0000 0.0867
0.8307 0.5000 0.9133
```

---

Name the least stable of them. arrangement B.